(1)
Here is a geometry-optimized RbAgGe structure from Alexandria. Energies are from GGA-PBE.

Crystal system: hexagonal
ΔH_f (0 K): 0.1186 eV/atom

a = 5.6534 Å, b = 4.4657 Å, c = 4.4657 Å
α = 120.00°, β = 90.00°, γ = 90.00°
With the nearest neighbours (Å) after each atom.
Atoms (fractional coordinates):
Rb1 0.6664 0.3333 0.6667  6 Ge 3.82-3.83, 6 Ag 3.83
Ge1 0.1672 0.6667 0.3333  3 Ag 2.58
Ag1 0.1664 0.0000 0.0000  3 Ge 2.58

(2)
Here is a geometry-optimized Li3Al2 structure from Alexandria. Energies are from GGA-PBE.

Crystal system: orthorhombic
ΔH_f (0 K): -0.1095 eV/atom

a = 2.7542 Å, b = 4.9756 Å, c = 12.8000 Å
α = 88.29°, β = 83.82°, γ = 73.93°
With the nearest neighbours (Å) after each atom.
Atoms (fractional coordinates):
Li1 0.7382 0.5000 0.5000  4 Li 2.75-2.85, 6 Al 2.81-3.01
Li2 0.9882 0.0000 0.0000  4 Li 2.75-2.85, 6 Al 2.81-3.01
Li3 0.6710 0.0469 0.7938  5 Li 2.73-2.85, 4 Al 2.78-2.98
Li4 0.5117 0.9531 0.2062  5 Li 2.73-2.85, 4 Al 2.78-2.98
Al1 0.6985 0.5278 0.9043  4 Al 2.75-2.81, 7 Li 2.78-3.01
Al2 0.1306 0.4722 0.0957  4 Al 2.75-2.81, 7 Li 2.78-3.01
Al3 0.3528 0.0278 0.5957  4 Al 2.75-2.81, 7 Li 2.78-3.01
Al4 0.9763 0.9722 0.4043  4 Al 2.75-2.81, 7 Li 2.78-3.01
Li5 0.2148 0.5469 0.7062  5 Li 2.73-2.85, 4 Al 2.78-2.98
Li6 0.4680 0.4531 0.2938  5 Li 2.73-2.85, 4 Al 2.78-2.98

(3)
Here is a geometry-optimized Pm2SnGePt6 structure from Alexandria. Energies are from GGA-PBE.

Crystal system: triclinic
ΔH_f (0 K): -0.7465 eV/atom

a = 6.8837 Å, b = 6.6314 Å, c = 8.7689 Å
α = 50.81°, β = 48.30°, γ = 79.99°
With the nearest neighbours (Å) after each atom.
Atoms (fractional coordinates):
Pt1 0.2486 0.7536 0.8403  1 Ge 2.51, 1 Sn 2.65, 2 Pt 2.78
Pt2 0.2632 0.2339 0.9918  1 Ge 2.52, 1 Sn 2.66, 4 Pt 2.73-2.81
Pt3 0.2319 0.2630 0.5116  1 Ge 2.52, 1 Sn 2.66, 4 Pt 2.73-2.82
Pm1 0.7498 0.2507 0.5337  7 Pt 3.00-3.29
Ge1 0.0000 0.0000 0.0000  6 Pt 2.51-2.52
Sn1 0.5000 0.5000 0.0000  6 Pt 2.65-2.66
Pt4 0.7368 0.7661 0.0082  1 Ge 2.52, 1 Sn 2.66, 4 Pt 2.73-2.81
Pm2 0.2502 0.7493 0.4663  7 Pt 3.00-3.29
Pt5 0.7514 0.2464 0.1597  1 Ge 2.51, 1 Sn 2.65, 2 Pt 2.78
Pt6 0.7681 0.7370 0.4884  1 Ge 2.52, 1 Sn 2.66, 4 Pt 2.73-2.82

(4)
Here is a geometry-optimized Ni5Rh2W structure from Alexandria. Energies are from GGA-PBE.

Crystal system: monoclinic
ΔH_f (0 K): -0.0428 eV/atom

a = 4.5106 Å, b = 6.8652 Å, c = 8.2465 Å
α = 111.17°, β = 123.40°, γ = 76.98°
With the nearest neighbours (Å) after each atom.
Atoms (fractional coordinates):
Ni1 0.9350 0.3115 0.3720  5 Ni 2.59-2.62, 4 Rh 2.60-2.63, 3 W 2.60-2.61
Ni2 0.6877 0.5627 0.8779  7 Ni 2.58-2.61, 4 Rh 2.58-2.61, 1 W 2.63
Ni3 0.3123 0.4373 0.1221  7 Ni 2.58-2.61, 4 Rh 2.58-2.61, 1 W 2.63
Ni4 0.0650 0.6885 0.6280  5 Ni 2.59-2.62, 4 Rh 2.60-2.63, 3 W 2.60-2.61
Ni5 0.1878 0.0625 0.8778  7 Ni 2.58-2.61, 4 Rh 2.58-2.61, 1 W 2.63
Ni6 0.5648 0.1886 0.6279  5 Ni 2.59-2.62, 4 Rh 2.60-2.63, 3 W 2.60-2.61
Ni7 0.7500 0.2500 0.9999  8 Ni 2.58-2.61, 4 Rh 2.59
W1 0.5000 0.5000 0.5000  4 Rh 2.59-2.60, 8 Ni 2.60-2.63
Ni8 0.4352 0.8114 0.3721  5 Ni 2.59-2.62, 4 Rh 2.60-2.63, 3 W 2.60-2.61
Ni9 0.2500 0.7500 0.0001  8 Ni 2.58-2.61, 4 Rh 2.59
Rh1 0.8758 0.6250 0.2495  10 Ni 2.58-2.63, 2 W 2.59-2.60
Ni10 0.8122 0.9375 0.1222  7 Ni 2.58-2.61, 4 Rh 2.58-2.61, 1 W 2.63
W2 0.0000 0.0000 0.5000  4 Rh 2.59-2.60, 8 Ni 2.60-2.63
Rh2 0.3757 0.1250 0.2495  10 Ni 2.58-2.63, 2 W 2.59-2.60
Rh3 0.6243 0.8750 0.7505  10 Ni 2.58-2.63, 2 W 2.59-2.60
Rh4 0.1242 0.3750 0.7505  10 Ni 2.58-2.63, 2 W 2.59-2.60

(5)
Here is a geometry-optimized Zr2CO structure from Alexandria. Energies are from GGA-PBE.

Crystal system: monoclinic
E: -9.546 eV/atom

a = 5.7808 Å, b = 5.7423 Å, c = 7.3792 Å
α = 104.87°, β = 105.08°, γ = 109.75°
With the nearest neighbours (Å) after each atom.
Atoms (fractional coordinates):
Zr1 0.7088 0.4397 0.8752  3 C 2.27-2.29, 3 O 2.41-2.45
O1 0.4362 0.6862 0.8723  6 Zr 2.33-2.45
C1 0.8118 0.5618 0.6237  6 Zr 2.26-2.33
Zr2 0.2912 0.5603 0.1248  3 C 2.27-2.29, 3 O 2.41-2.45
C2 0.0634 0.8134 0.1269  6 Zr 2.27-2.33
Zr3 0.1664 0.9355 0.8752  3 C 2.27-2.29, 3 O 2.41-2.45
O2 0.6889 0.9389 0.3778  6 Zr 2.32-2.45
O3 0.5638 0.3138 0.1277  6 Zr 2.33-2.45
O4 0.3111 0.0611 0.6222  6 Zr 2.32-2.45
Zr4 0.8336 0.0645 0.1248  3 C 2.27-2.29, 3 O 2.41-2.45
Zr5 0.4274 0.1972 0.3753  3 C 2.26-2.33, 3 O 2.32-2.45
Zr6 0.0521 0.3219 0.6247  3 C 2.26-2.33, 3 O 2.32-2.45
C3 0.1882 0.4382 0.3763  6 Zr 2.26-2.33
Zr7 0.9479 0.6781 0.3753  3 C 2.26-2.33, 3 O 2.32-2.45
Zr8 0.5726 0.8028 0.6247  3 C 2.26-2.33, 3 O 2.32-2.45
C4 0.9366 0.1866 0.8731  6 Zr 2.27-2.33

(6)
Here is a geometry-optimized CoAs2Ru structure from Alexandria. Energies are from GGA-PBE.

Crystal system: tetragonal
ΔH_f (0 K): 0.0553 eV/atom

a = 3.0545 Å, b = 3.0545 Å, c = 6.0442 Å
α = 90.00°, β = 90.00°, γ = 90.03°
With the nearest neighbours (Å) after each atom.
Atoms (fractional coordinates):
As1 0.0000 0.0000 0.0076  4 Co 2.61, 4 Ru 2.66
As2 0.0000 0.0000 0.4924  4 Co 2.61, 4 Ru 2.66
Co1 0.5000 0.5000 0.2500  8 As 2.61
Ru1 0.5000 0.5000 0.7500  8 As 2.66